The following is a SCAN calculation of CoBiIrSe2 at its PBEsol-relaxed geometry, from Alexandria.

Properties
uncorrected energy = -2.9981 Ry/atom
spin magnetization = 2.359 μB/f.u.
uncorrected formation energy = 3.185 eV per formula unit
Fermi-level density of states = 3.2 states/eV/cell
crystal system = tetragonal

Structure (extended XYZ):
```
5
Lattice="4.855 0.000 0.000 0.000 4.855 0.000 0.000 0.000 4.579" Properties=species:S:1:pos:R:3 pbc="T T T"
Co 0.000 0.000 0.000
Bi 2.427 2.427 0.000
Ir 0.000 0.000 2.289
Se 0.000 2.427 2.289
Se 2.427 0.000 2.289
```

The following is a SCAN calculation of Ga3MoCl at its PBEsol-relaxed geometry, from Alexandria.

Properties
uncorrected energy = -1.3233 Ry/atom
spin magnetization = 2.114 μB/f.u.
uncorrected formation energy = 1.881 eV per formula unit
Fermi-level density of states = 5.2 states/eV/cell
crystal system = cubic

Structure (extended XYZ):
```
5
Lattice="4.937 0.000 0.000 0.000 4.937 0.000 0.000 0.000 4.937" Properties=species:S:1:pos:R:3 pbc="T T T"
Ga 0.000 0.000 2.469
Ga 0.000 2.469 0.000
Ga 2.469 0.000 0.000
Mo 0.000 0.000 0.000
Cl 2.469 2.469 2.469
```

The following is a SCAN calculation of TeBrN2F at its PBEsol-relaxed geometry, from Alexandria.

Properties
uncorrected energy = -1.0851 Ry/atom
energy relative to the lowest polymorph listed for this composition = 0 meV per atom
spin magnetization = 2.950 μB/f.u.
uncorrected formation energy = 5.014 eV per formula unit
Fermi-level density of states = 2.0 states/eV/cell
crystal system = tetragonal

Structure (extended XYZ):
```
5
Lattice="4.145 0.000 0.000 0.000 4.145 0.000 0.000 0.000 4.225" Properties=species:S:1:pos:R:3 pbc="T T T"
Te 0.000 0.000 0.000
Br 2.072 2.072 2.113
N 0.000 2.072 0.000
N 2.072 0.000 0.000
F 0.000 0.000 2.113
```

The following is a SCAN calculation of Si3Hg at its PBEsol-relaxed geometry, from Alexandria.

Properties
uncorrected energy = -1.7397 Ry/atom
energy relative to the lowest polymorph listed for this composition = 235 meV per atom
spin magnetization = 0.000 μB/f.u.
uncorrected formation energy = 3.533 eV per formula unit
Fermi-level density of states = 6.6 states/eV/cell
crystal system = cubic

Structure (extended XYZ):
```
16
Lattice="6.516 0.000 0.000 0.000 6.516 0.000 0.000 0.000 6.516" Properties=species:S:1:pos:R:3 pbc="T T T"
Si 0.000 0.000 0.000
Si 0.000 3.258 3.258
Si 1.629 1.629 1.629
Si 1.629 1.629 4.887
Si 1.629 4.887 1.629
Si 1.629 4.887 4.887
Si 3.258 0.000 3.258
Si 3.258 3.258 0.000
Si 4.887 1.629 1.629
Si 4.887 1.629 4.887
Si 4.887 4.887 1.629
Si 4.887 4.887 4.887
Hg 0.000 0.000 3.258
Hg 0.000 3.258 0.000
Hg 3.258 0.000 0.000
Hg 3.258 3.258 3.258
```

The following is a SCAN calculation of FePbBr2 at its PBEsol-relaxed geometry, from Alexandria.

Properties
uncorrected energy = -2.4470 Ry/atom
energy relative to the lowest polymorph listed for this composition = 146 meV per atom
spin magnetization = 3.440 μB/f.u.
uncorrected formation energy = -0.341 eV per formula unit
Fermi-level density of states = 1.8 states/eV/cell
crystal system = tetragonal

Structure (extended XYZ):
```
4
Lattice="3.254 0.000 0.000 0.000 3.254 0.000 0.000 0.000 8.670" Properties=species:S:1:pos:R:3 pbc="T T T"
Fe 0.000 0.000 0.000
Pb 0.000 0.000 4.335
Br 1.627 1.627 1.590
Br 1.627 1.627 7.080
```

The following is a SCAN calculation of Y2AgH2 at its PBEsol-relaxed geometry, from Alexandria.

Properties
uncorrected energy = -1.4294 Ry/atom
spin magnetization = 0.000 μB/f.u.
Fermi-level density of states = 5.5 states/eV/cell
crystal system = tetragonal

Structure (extended XYZ):
```
10
Lattice="3.600 0.000 0.000 0.000 3.600 0.000 0.000 0.000 12.239" Properties=species:S:1:pos:R:3 pbc="T T T"
Y 0.000 0.000 1.807
Y 0.000 0.000 10.432
Y 1.800 1.800 4.313
Y 1.800 1.800 7.926
Ag 0.000 0.000 6.119
Ag 1.800 1.800 0.000
H 0.000 1.800 3.060
H 0.000 1.800 9.179
H 1.800 0.000 3.060
H 1.800 0.000 9.179
```

The following is a SCAN calculation of Sr2GeO4 at its PBEsol-relaxed geometry, from Alexandria.

Properties
uncorrected energy = -1.1322 Ry/atom
spin magnetization = 0.033 μB/f.u.
uncorrected formation energy = -19.263 eV per formula unit
Fermi-level density of states = 0.0 states/eV/cell
crystal system = monoclinic

Structure (extended XYZ):
```
28
Lattice="5.825 0.000 0.000 0.000 7.196 0.000 -4.976 0.000 9.855" Properties=species:S:1:pos:R:3 pbc="T T T"
Sr -1.387 0.021 2.954
Sr -3.875 3.577 7.882
Sr -1.103 4.696 5.621
Sr 1.385 6.098 0.694
Sr -0.536 1.098 9.161
Sr 1.952 2.500 4.233
Sr 4.724 3.618 1.973
Sr 2.235 7.175 6.900
Ge -0.873 1.559 5.735
Ge 1.615 2.038 0.807
Ge -0.766 5.157 9.048
Ge 1.722 5.636 4.120
O 0.137 1.211 1.353
O -2.351 2.386 6.281
O -3.042 1.220 9.108
O -0.554 2.378 4.180
O 1.293 3.736 0.587
O -1.195 7.057 5.514
O 0.369 5.389 3.018
O -2.119 5.405 7.945
O 2.968 1.791 1.910
O 0.480 1.807 6.837
O 2.044 0.139 4.341
O -0.444 3.459 9.268
O 1.403 4.818 5.674
O 3.891 5.976 0.747
O 3.200 4.809 3.574
O 0.712 5.984 8.501
```

The following is a SCAN calculation of LaTeOs at its PBEsol-relaxed geometry, from Alexandria.

Properties
uncorrected energy = -3.7651 Ry/atom
spin magnetization = 0.000 μB/f.u.
uncorrected formation energy = -1.443 eV per formula unit
Fermi-level density of states = 3.3 states/eV/cell
crystal system = hexagonal

Structure (extended XYZ):
```
3
Lattice="4.538 0.000 0.000 -2.269 3.930 0.000 0.000 0.000 3.965" Properties=species:S:1:pos:R:3 pbc="T T T"
La 0.000 0.000 0.000
Te 0.000 2.620 1.982
Os 2.269 1.310 1.982
```

The following is a SCAN calculation of MgMnZn at its PBEsol-relaxed geometry, from Alexandria.

Properties
uncorrected energy = -0.9025 Ry/atom
spin magnetization = 3.740 μB/f.u.
Fermi-level density of states = 1.8 states/eV/cell
formation energy = -0.031 eV per atom
crystal system = trigonal

Structure (extended XYZ):
```
3
Lattice="4.359 0.000 0.000 -2.179 3.775 0.000 0.000 0.000 2.779" Properties=species:S:1:pos:R:3 pbc="T T T"
Mg 0.000 0.000 0.000
Mn 2.179 1.258 1.141
Zn 0.000 2.517 1.902
```

The following is a SCAN calculation of SrZrSnI2 at its PBEsol-relaxed geometry, from Alexandria.

Properties
uncorrected energy = -2.3688 Ry/atom
spin magnetization = 2.760 μB/f.u.
uncorrected formation energy = 1.233 eV per formula unit
Fermi-level density of states = 4.1 states/eV/cell
crystal system = tetragonal

Structure (extended XYZ):
```
5
Lattice="5.993 0.000 0.000 0.000 5.993 0.000 0.000 0.000 5.669" Properties=species:S:1:pos:R:3 pbc="T T T"
Sr 0.000 0.000 0.000
Zr 2.997 2.997 0.000
Sn 2.997 2.997 2.834
I 0.000 2.997 2.834
I 2.997 0.000 2.834
```

The following is a SCAN calculation of La3TlPd at its PBEsol-relaxed geometry, from Alexandria.

Properties
uncorrected energy = -3.4168 Ry/atom
spin magnetization = 0.000 μB/f.u.
Fermi-level density of states = 5.9 states/eV/cell
formation energy = 0.402 eV per atom
crystal system = cubic

Structure (extended XYZ):
```
5
Lattice="5.876 0.000 0.000 0.000 5.876 0.000 0.000 0.000 5.876" Properties=species:S:1:pos:R:3 pbc="T T T"
La 0.000 0.000 2.938
La 0.000 2.938 0.000
La 2.938 0.000 0.000
Tl 0.000 0.000 0.000
Pd 2.938 2.938 2.938
```